A plane-wave DFT calculation with PBE was carried out for a geometry-optimized LiPuNiRh structure.

a = 4.515 Å, b = 4.515 Å, c = 4.515 Å
α = 60.00°, β = 60.00°, γ = 60.00°
Positions (direct):
Li (0.000, 0.000, 0.000)
Pu (0.500, 0.500, 0.500)
Ni (0.750, 0.750, 0.750)
Rh (0.250, 0.250, 0.250)

The value obtained for the total energy is -7.5030 eV per atom. The value obtained for the energy relative to the elements is -0.158 eV per atom. The calculation puts the total magnetization at 4.735 μB per formula unit. The space-group type is No. 216.

=====

A plane-wave DFT calculation with PBE was carried out for a geometry-optimized Sm3Ag3RhO8 structure.

a = 6.919 Å, b = 6.919 Å, c = 6.919 Å
α = 60.26°, β = 60.26°, γ = 60.26°
Positions (direct):
Sm (0.000, 0.500, 0.500)
Sm (0.500, 0.000, 0.500)
Sm (0.500, 0.500, 0.000)
Ag (0.000, 0.000, 0.500)
Ag (0.000, 0.500, 0.000)
Ag (0.500, 0.000, 0.000)
Rh (0.000, 0.000, 0.000)
O (0.212, 0.212, 0.768)
O (0.212, 0.768, 0.212)
O (0.232, 0.788, 0.788)
O (0.268, 0.268, 0.268)
O (0.732, 0.732, 0.732)
O (0.768, 0.212, 0.212)
O (0.788, 0.232, 0.788)
O (0.788, 0.788, 0.232)

The value obtained for the total energy is -6.3463 eV per atom. The calculation puts the uncorrected formation energy at -1.6978 eV per atom. The calculation puts the total magnetization at 1.093 μB per formula unit. The space-group type is No. 166.

=====

A plane-wave DFT calculation with PBE was carried out for a geometry-optimized Li2BiSb structure.

a = 4.599 Å, b = 4.599 Å, c = 4.364 Å
α = 90.00°, β = 90.00°, γ = 90.00°
Positions (direct):
Li (0.000, 0.500, 0.000)
Li (0.500, 0.000, 0.000)
Bi (0.000, 0.000, 0.500)
Sb (0.500, 0.500, 0.500)

The value obtained for the total energy is -3.3419 eV per atom. The calculation puts the uncorrected formation energy at -0.3841 eV per atom. The calculation puts the total magnetization at 0.000 μB per formula unit. The space-group type is No. 123. As for the energy above the most stable polymorph in this dataset: 0.0 meV per atom.

=====

A plane-wave DFT calculation with PBE was carried out for a geometry-optimized MnCoCuRe structure.

a = 4.471 Å, b = 4.471 Å, c = 4.523 Å
α = 99.55°, β = 99.55°, γ = 34.29°
Positions (direct):
Mn (0.000, 0.000, 0.000)
Co (0.502, 0.502, 0.499)
Cu (0.249, 0.249, 0.766)
Re (0.755, 0.755, 0.276)

The value obtained for the total energy is -8.0176 eV per atom. The value obtained for the energy relative to the elements is 0.187 eV per atom. The calculation puts the total magnetization at 3.217 μB per formula unit. The space-group type is No. 8. As for the energy above the most stable polymorph in this dataset: 31.2 meV per atom.

=====

A plane-wave DFT calculation with PBE was carried out for a geometry-optimized Nd3SmY3S8 structure.

a = 8.004 Å, b = 8.004 Å, c = 8.004 Å
α = 59.51°, β = 59.51°, γ = 59.51°
Positions (direct):
Nd (0.000, 0.500, 0.500)
Nd (0.500, 0.000, 0.500)
Nd (0.500, 0.500, 0.000)
Sm (0.500, 0.500, 0.500)
Y (0.000, 0.000, 0.500)
Y (0.000, 0.500, 0.000)
Y (0.500, 0.000, 0.000)
S (0.240, 0.751, 0.751)
S (0.246, 0.246, 0.246)
S (0.249, 0.249, 0.760)
S (0.249, 0.760, 0.249)
S (0.751, 0.240, 0.751)
S (0.751, 0.751, 0.240)
S (0.754, 0.754, 0.754)
S (0.760, 0.249, 0.249)

The value obtained for the total energy is -6.8096 eV per atom. The calculation puts the uncorrected formation energy at -2.0473 eV per atom. The calculation puts the total magnetization at 0.000 μB per formula unit. The space-group type is No. 166.

=====

A plane-wave DFT calculation with PBE was carried out for a geometry-optimized YSi3 structure.

a = 3.475 Å, b = 3.475 Å, c = 5.950 Å
α = 90.00°, β = 90.00°, γ = 90.33°
Positions (direct):
Y (0.000, 0.000, 0.000)
Si (0.000, 0.000, 0.500)
Si (0.500, 0.500, 0.303)
Si (0.500, 0.500, 0.697)

The value obtained for the total energy is -5.8617 eV per atom. The calculation puts the uncorrected formation energy at -0.1784 eV per atom. The calculation puts the total magnetization at 0.000 μB per formula unit. The space-group type is No. 65.